1.
Compound: BaGdPt
Source: Alexandria via LeMat-Bulk
Functional: GGA-PBE
Structure: relaxed

Calculated values
Magnetization = 7.3 μB per cell
Calculated total energy = -23.967 eV for the cell shown
Formation enthalpy at 0 K = -0.64 eV per atom
Density = 8.44 g/cm³

Cell: 3.7388 3.7388 7.3821 Å, 104.67 104.67 90.00°
Each line ends with the local moment (μB).
Atoms (fractional coordinates):
Ba 0.0274 0.0274 0.0549  0.02
Gd 0.2817 0.2817 0.5633  7.05
Pt 0.6909 0.6909 0.3818  0.01

2.
Compound: Cs3NdAl2O6
Source: Alexandria via LeMat-Bulk
Functional: GGA-PBE
Structure: relaxed

Calculated values
Magnetization = 0.0 μB per cell
Formation energy from raw total energies = -2.33 eV/atom
Calculated total energy = -72.572 eV for the cell shown
Density = 4.31 g/cm³

Cell: 6.2876 6.2876 7.8038 Å, 90.00 90.00 120.00°
Atoms (fractional coordinates):
O 0.1757 0.3514 0.3125
O 0.3514 0.1757 0.6875
O 0.1757 0.8243 0.3125
O 0.8243 0.6486 0.6875
O 0.8243 0.1757 0.6875
O 0.6486 0.8243 0.3125
Al 0.6667 0.3333 0.6858
Al 0.3333 0.6667 0.3142
Nd 0.0000 0.0000 0.5000
Cs 0.0000 0.0000 0.0000
Cs 0.6667 0.3333 0.2424
Cs 0.3333 0.6667 0.7576

3.
Compound: Tc5Rh4
Source: Alexandria via LeMat-Bulk
Functional: GGA-PBE
Structure: relaxed

Calculated values
Magnetization = 0.0 μB per cell
Calculated total energy = -161.048 eV for the cell shown
Formation enthalpy at 0 K = 0.08 eV per atom
Density = 11.41 g/cm³

Cell: 7.4862 7.4862 5.4065 Å, 90.00 90.00 60.00°
Atoms (fractional coordinates):
Rh 0.3334 0.0000 0.2500
Rh 0.0000 0.0000 0.0000
Rh 0.6666 0.3334 0.2500
Rh 0.0000 0.6666 0.2500
Rh 0.0000 0.3334 0.7500
Rh 0.3334 0.6666 0.7500
Rh 0.0000 0.0000 0.5000
Rh 0.6666 0.0000 0.7500
Tc 0.6643 0.3357 0.7500
Tc 0.0000 0.6643 0.7500
Tc 0.6643 0.0000 0.2500
Tc 0.3357 0.6643 0.2500
Tc 0.3333 0.3333 0.5000
Tc 0.3357 0.0000 0.7500
Tc 0.6667 0.6667 0.5000
Tc 0.6667 0.6667 0.0000
Tc 0.3333 0.3333 0.0000
Tc 0.0000 0.3357 0.2500

4.
Compound: LaSmEr5
Source: Alexandria via LeMat-Bulk
Functional: GGA-PBE
Structure: relaxed

Calculated values
Magnetization = 0.0 μB per cell
Calculated total energy = -24.612 eV for the cell shown
Formation enthalpy at 0 K = 1.12 eV per atom
Density = 6.38 g/cm³

Cell: 5.7608 7.8559 7.8559 Å, 66.48 68.49 68.49°
Atoms (fractional coordinates):
Er 0.5000 0.8206 0.1794
Er 0.0000 0.5000 0.5000
Er 0.5000 0.1794 0.8206
Er 0.7458 0.2542 0.2542
Er 0.2542 0.7458 0.7458
Sm 0.5000 0.5000 0.5000
La 0.0000 0.0000 0.0000